No. 1
PaBiTe3 GGA-PBE optimized geometry; DOS at the Fermi energy = 10.2 states/eV per cell; raw formation energy = -0.493 eV per atom; energy = -5.054 eV per atom; volume = 356.15 Å³/cell; mass density = 7.7 g/cm³
1.0
9.750 -2.195 0.000
9.750 2.195 0.000
-0.365 0.000 8.321
Pa Bi Te
2 2 6
Cartesian
4.229 0.000 2.088
14.907 0.000 6.233
8.992 0.000 2.737
10.143 0.000 5.584
1.013 0.000 1.696
3.239 0.000 5.050
6.103 0.000 8.193
13.032 0.000 0.128
15.896 0.000 3.270
18.123 0.000 6.625

***

No. 2
PaBiTe2 GGA-PBE optimized geometry; DOS at the Fermi energy = 13.4 states/eV per cell; raw formation energy = -0.295 eV per atom; energy = -5.210 eV per atom; ΔE to the lowest computed polymorph = 185.2 meV per atom; volume = 372.88 Å³/cell; mass density = 9.3 g/cm³
1.0
3.862 0.000 0.000
-1.931 3.345 0.000
0.000 0.000 28.861
Pa Bi Te
3 3 6
Cartesian
0.000 0.000 0.000
0.000 2.230 19.241
1.931 1.115 9.620
0.000 0.000 24.110
0.000 2.230 14.490
1.931 1.115 4.869
0.000 0.000 11.748
0.000 0.000 17.130
0.000 2.230 2.128
0.000 2.230 7.510
1.931 1.115 21.369
1.931 1.115 26.751

***

No. 3
PaBiTe GGA-PBE optimized geometry; DOS at the Fermi energy = 21.4 states/eV per cell; raw formation energy = -0.513 eV per atom; energy = -6.020 eV per atom; volume = 357.66 Å³/cell; mass density = 10.5 g/cm³
1.0
4.449 0.000 0.000
0.000 4.449 0.000
0.000 0.000 18.066
Pa Bi Te
4 4 4
Cartesian
0.000 0.000 2.523
0.000 0.000 15.543
2.225 2.225 6.510
2.225 2.225 11.556
0.000 2.225 0.000
0.000 2.225 9.033
2.225 0.000 0.000
2.225 0.000 9.033
0.000 0.000 5.712
0.000 0.000 12.354
2.225 2.225 3.321
2.225 2.225 14.745

***

No. 4
Pa5BiTe5 GGA-PBE optimized geometry; DOS at the Fermi energy = 23.4 states/eV per cell; raw formation energy = -0.577 eV per atom; energy = -6.674 eV per atom; volume = 341.08 Å³/cell; mass density = 9.7 g/cm³
1.0
6.859 -3.065 0.000
6.859 3.065 0.000
-2.610 0.000 8.113
Pa Bi Te
5 1 5
Cartesian
0.000 0.000 0.000
3.967 0.000 1.339
2.793 0.000 5.350
8.315 0.000 2.763
7.141 0.000 6.774
6.859 0.000 0.000
1.166 0.000 2.798
0.012 0.000 6.579
5.554 0.000 4.057
11.097 0.000 1.535
9.942 0.000 5.315

***

No. 5
PaBiTe2 GGA-PBE optimized geometry; DOS at the Fermi energy = 4.1 states/eV per cell; raw formation energy = -0.480 eV per atom; energy = -5.395 eV per atom; ΔE to the lowest computed polymorph = 0.0 meV per atom; volume = 114.58 Å³/cell; mass density = 10.1 g/cm³
1.0
3.781 0.000 0.000
0.000 3.781 0.000
0.000 0.000 8.014
Pa Bi Te
1 1 2
Cartesian
0.000 0.000 0.000
0.000 0.000 4.007
1.891 1.891 1.706
1.891 1.891 6.308

***

No. 6
Pa2BiTe GGA-PBE optimized geometry; DOS at the Fermi energy = 30.1 states/eV per cell; raw formation energy = -0.275 eV per atom; energy = -6.778 eV per atom; ΔE to the lowest computed polymorph = 89.4 meV per atom; volume = 365.27 Å³/cell; mass density = 10.9 g/cm³
1.0
4.164 0.000 0.000
-2.082 3.606 0.000
0.000 0.000 24.331
Pa Bi Te
6 3 3
Cartesian
0.000 0.000 0.000
0.000 0.000 4.257
0.000 2.404 16.220
0.000 2.404 20.478
2.082 1.202 8.110
2.082 1.202 12.367
0.000 0.000 18.365
0.000 2.404 10.255
2.082 1.202 2.145
0.000 0.000 14.287
0.000 2.404 6.177
2.082 1.202 22.397

***

> The highest mass density belongs to which entry?

Pa2BiTe

***

> Which of these has the highest mass density?

Pa2BiTe

***

> volume of number 6 (Pa2BiTe)?

365.27 Å³/cell

***

> Among the records above, which one has the lowest volume?

number 5